InCoO3: optimized geometry, PBE+U.

Unit cell a=5.287 b=7.340 c=5.088 alpha=90.00 beta=90.00 gamma=90.00
Fractional coordinates of all 20 atoms:
In  0.064  0.250  0.021
In  0.436  0.750  0.521
In  0.564  0.250  0.479
In  0.936  0.750  0.979
Co  0.000  0.000  0.500
Co  0.000  0.500  0.500
Co  0.500  0.000  0.000
Co  0.500  0.500  0.000
O  0.047  0.750  0.383
O  0.199  0.562  0.805
O  0.199  0.938  0.805
O  0.301  0.062  0.305
O  0.301  0.438  0.305
O  0.453  0.250  0.883
O  0.547  0.750  0.117
O  0.699  0.562  0.695
O  0.699  0.938  0.695
O  0.801  0.062  0.195
O  0.801  0.438  0.195
O  0.953  0.250  0.617

Output
Crystal system: orthorhombic
Final energy (eV per atom): -5.702
Symmetry: Pnma (62)